Entry 1:
# VCdAsO6, relaxed, DFT GGA+U
data_VCdAsO6
_chemical_formula_sum 'V2 Cd2 As2 O12'
_symmetry_space_group_name_H-M 'P -3 1 c'
_symmetry_Int_Tables_number 163
_symmetry_space_group_name_Hall '-P 3 2c'
_cell_length_a 5.0004
_cell_length_b 5.0004
_cell_length_c 9.8097
_cell_angle_alpha 90.00
_cell_angle_beta 90.00
_cell_angle_gamma 120.00
loop_
_atom_site_label
_atom_site_type_symbol
_atom_site_fract_x
_atom_site_fract_y
_atom_site_fract_z
V1 V 0.3333 0.6667 0.2500
Cd1 Cd 0.0000 0.0000 0.0000
As1 As 0.3333 0.6667 0.7500
O1 O 0.0062 0.3799 0.6443
# Total DFT energy (no corrections) ... -6.185 eV per atom

Entry 2:
# Cd2AsWO, relaxed, DFT GGA+U
data_Cd2AsWO
_chemical_formula_sum 'Cd2 As1 W1 O1'
_symmetry_space_group_name_H-M 'P 4/m m m'
_symmetry_Int_Tables_number 123
_symmetry_space_group_name_Hall '-P 4 2'
_cell_length_a 5.119
_cell_length_b 5.119
_cell_length_c 5.176
_cell_angle_alpha 90.00
_cell_angle_beta 90.00
_cell_angle_gamma 90.00
loop_
_atom_site_label
_atom_site_type_symbol
_atom_site_fract_x
_atom_site_fract_y
_atom_site_fract_z
Cd1 Cd 0.000 0.500 0.000
As1 As 0.000 0.000 0.000
W1 W 0.000 0.000 0.500
O1 O 0.500 0.500 0.500
# Total DFT energy (no corrections) ... -2.636 eV per atom